(1)
Density functional theory data (SCAN) for a crystal of Li4InCo relaxed with PBEsol.

Summary:
For the formation energy, the calculation gives 0.08 eV/atom. The raw total energy comes out at -59.7 eV per formula unit. The crystal system is cubic. The value obtained for the spin magnetization is 6.445 Bohr magnetons per cell. For the density of states at the Fermi level, the calculation gives 7.43 states/eV per cell.

```
data_Li4InCo
_cell_length_a 6.911
_cell_length_b 6.911
_cell_length_c 6.911
_cell_angle_alpha 90.00
_cell_angle_beta 90.00
_cell_angle_gamma 90.00
_space_group_name_H-M_alt 'F -4 3 m'
_space_group_IT_number 216
_space_group_name_Hall 'F -4 2 3'
loop_
_atom_site_label
_atom_site_type_symbol
_atom_site_fract_x
_atom_site_fract_y
_atom_site_fract_z
Li1 Li 0.124 0.124 0.124
In1 In 0.000 0.000 0.500
Co1 Co 0.250 0.250 0.750
```

(2)
Density functional theory data (SCAN) for a crystal of Cu2TeAs relaxed with PBEsol.

Summary:
As for the energy relative to the elements, uncorrected: 0.1048 eV per atom. The raw total energy comes out at -87.4 eV per formula unit. The crystal system is orthorhombic. The value obtained for the spin magnetization is 0.000 Bohr magnetons per cell. For the density of states at the Fermi level, the calculation gives 1.82 states/eV per cell. For the energy above the lowest structure with this stoichiometry, the calculation gives 0.000 eV/atom.

```
data_Cu2TeAs
_cell_length_a 2.910
_cell_length_b 3.559
_cell_length_c 7.018
_cell_angle_alpha 90.00
_cell_angle_beta 90.00
_cell_angle_gamma 90.00
_space_group_name_H-M_alt 'P m m 2'
_space_group_IT_number 25
loop_
_space_group_symop_operation_xyz
'x,y,z'
'-x,-y,z'
'-x,y,z'
'x,-y,z'
loop_
_atom_site_label
_atom_site_type_symbol
_atom_site_fract_x
_atom_site_fract_y
_atom_site_fract_z
Cu1 Cu 0.000 0.000 0.000
Cu2 Cu 0.500 0.500 0.180
Te1 Te 0.000 0.000 0.405
As1 As 0.500 0.500 0.834
```

(3)
Density functional theory data (SCAN) for a crystal of CsAsIO2 relaxed with PBEsol.

Summary:
As for the energy relative to the elements, uncorrected: 0.6821 eV per atom. The raw total energy comes out at -103.8 eV per formula unit. The crystal system is tetragonal. The value obtained for the spin magnetization is 1.295 Bohr magnetons per cell. For the density of states at the Fermi level, the calculation gives 2.40 states/eV per cell.

```
data_CsAsIO2
_cell_length_a 4.297
_cell_length_b 4.297
_cell_length_c 7.416
_cell_angle_alpha 90.00
_cell_angle_beta 90.00
_cell_angle_gamma 90.00
_space_group_name_H-M_alt 'P 4/m m m'
_space_group_IT_number 123
_space_group_name_Hall '-P 4 2'
loop_
_atom_site_label
_atom_site_type_symbol
_atom_site_fract_x
_atom_site_fract_y
_atom_site_fract_z
Cs1 Cs 0.000 0.000 0.000
As1 As 0.500 0.500 0.500
I1 I 0.000 0.000 0.500
O1 O 0.000 0.500 0.000
```

(4)
Density functional theory data (SCAN) for a crystal of Pr15Si10Ni7 relaxed with PBEsol.

Summary:
As for the energy relative to the elements, uncorrected: -0.6459 eV per atom. The raw total energy comes out at -883.9 eV per formula unit. The crystal system is hexagonal. The value obtained for the spin magnetization is 0.005 Bohr magnetons per cell. For the density of states at the Fermi level, the calculation gives 55.43 states/eV per cell.

```
data_Pr15Si10Ni7
_cell_length_a 19.5665
_cell_length_b 19.5665
_cell_length_c 4.3291
_cell_angle_alpha 90.00
_cell_angle_beta 90.00
_cell_angle_gamma 120.00
_space_group_name_H-M_alt 'P 63/m'
_space_group_IT_number 176
_space_group_name_Hall '-P 6c'
loop_
_atom_site_label
_atom_site_type_symbol
_atom_site_fract_x
_atom_site_fract_y
_atom_site_fract_z
Pr1 Pr 0.0169 0.8702 0.2500
Pr2 Pr 0.0321 0.3545 0.7500
Pr3 Pr 0.0815 0.5808 0.7500
Pr4 Pr 0.1254 0.8041 0.7500
Pr5 Pr 0.2440 0.5340 0.7500
Si1 Si 0.0596 0.2566 0.2500
Si2 Si 0.1099 0.4850 0.2500
Si3 Si 0.1569 0.7117 0.2500
Si4 Si 0.3333 0.6667 0.2500
Ni1 Ni 0.0000 0.0000 0.0000
Ni2 Ni 0.1517 0.3932 0.2500
Ni3 Ni 0.1992 0.6203 0.2500
```

(5)
Density functional theory data (SCAN) for a crystal of CdCoIr relaxed with PBEsol.

Summary:
For the formation energy, the calculation gives 0.18 eV/atom. The raw total energy comes out at -118.3 eV per formula unit. The crystal system is tetragonal. The value obtained for the spin magnetization is 4.931 Bohr magnetons per cell. For the density of states at the Fermi level, the calculation gives 2.99 states/eV per cell.

```
data_CdCoIr
_cell_length_a 2.762
_cell_length_b 2.762
_cell_length_c 11.290
_cell_angle_alpha 90.00
_cell_angle_beta 90.00
_cell_angle_gamma 90.00
_space_group_name_H-M_alt 'I 4 m m'
_space_group_IT_number 107
_space_group_name_Hall 'I 4 -2'
loop_
_atom_site_label
_atom_site_type_symbol
_atom_site_fract_x
_atom_site_fract_y
_atom_site_fract_z
Cd1 Cd 0.000 0.000 0.000
Co1 Co 0.000 0.000 0.325
Ir1 Ir 0.000 0.000 0.690
```

(6)
Density functional theory data (SCAN) for a crystal of Be2HgRuCl relaxed with PBEsol.

Summary:
As for the energy relative to the elements, uncorrected: 0.7791 eV per atom. The raw total energy comes out at -115.8 eV per formula unit. The crystal system is tetragonal. The value obtained for the spin magnetization is 0.001 Bohr magnetons per cell. For the density of states at the Fermi level, the calculation gives 4.61 states/eV per cell.

```
data_Be2HgRuCl
_cell_length_a 4.239
_cell_length_b 4.239
_cell_length_c 5.225
_cell_angle_alpha 90.00
_cell_angle_beta 90.00
_cell_angle_gamma 90.00
_space_group_name_H-M_alt 'P 4/m m m'
_space_group_IT_number 123
_space_group_name_Hall '-P 4 2'
loop_
_atom_site_label
_atom_site_type_symbol
_atom_site_fract_x
_atom_site_fract_y
_atom_site_fract_z
Be1 Be 0.000 0.500 0.000
Hg1 Hg 0.000 0.000 0.500
Ru1 Ru 0.000 0.000 0.000
Cl1 Cl 0.500 0.500 0.500
```

(7)
Density functional theory data (SCAN) for a crystal of Al2TlOs relaxed with PBEsol.

Summary:
For the formation energy, the calculation gives 0.17 eV/atom. The raw total energy comes out at -159.1 eV per formula unit. The crystal system is monoclinic. The value obtained for the spin magnetization is 0.000 Bohr magnetons per cell. For the density of states at the Fermi level, the calculation gives 4.06 states/eV per cell. For the energy above the lowest structure with this stoichiometry, the calculation gives 0.000 eV/atom.

```
data_Al2TlOs
_cell_length_a 8.889
_cell_length_b 3.145
_cell_length_c 4.952
_cell_angle_alpha 90.00
_cell_angle_beta 100.13
_cell_angle_gamma 90.00
_space_group_name_H-M_alt 'C 1 m 1'
_space_group_IT_number 8
loop_
_space_group_symop_operation_xyz
'x,y,z'
'x,-y,z'
'x+1/2,y+1/2,z'
'x+1/2,-y+1/2,z'
loop_
_atom_site_label
_atom_site_type_symbol
_atom_site_fract_x
_atom_site_fract_y
_atom_site_fract_z
Al1 Al 0.000 0.000 0.000
Al2 Al 0.250 0.000 0.743
Tl1 Tl 0.266 0.500 0.278
Os1 Os 0.021 0.500 0.608
```

(8)
Density functional theory data (SCAN) for a crystal of CsCoCl3 relaxed with PBEsol.

Summary:
As for the energy relative to the elements, uncorrected: -1.5067 eV per atom. The raw total energy comes out at -86.6 eV per formula unit. The crystal system is hexagonal. The value obtained for the spin magnetization is 6.024 Bohr magnetons per cell.

```
data_CsCoCl3
_cell_length_a 7.1239
_cell_length_b 7.1239
_cell_length_c 5.7886
_cell_angle_alpha 90.00
_cell_angle_beta 90.00
_cell_angle_gamma 120.00
_space_group_name_H-M_alt 'P 63/m m c'
_space_group_IT_number 194
_space_group_name_Hall '-P 6c 2c'
loop_
_atom_site_label
_atom_site_type_symbol
_atom_site_fract_x
_atom_site_fract_y
_atom_site_fract_z
Cs1 Cs 0.3333 0.6667 0.2500
Co1 Co 0.0000 0.0000 0.0000
Cl1 Cl 0.1540 0.3080 0.7500
```